VASP calculation (PBEsol) on crystalline Ta2BrF at its relaxed geometry.

Summary:
The density of states at the Fermi level comes out at 4.2 states/eV/f.u. The formation energy from raw total energies is 0.40 eV per atom.

The structure in POSCAR format:
```
Ta2BrF
1.0
4.403 0.000 0.000
2.202 3.814 0.000
2.202 1.271 3.595
F Br Ta
1 1 2
direct
0.000 0.000 0.000
0.500 0.500 0.500
0.250 0.250 0.250
0.750 0.750 0.750
```